Entry 1:
DFT (PBE-GGA) results for a relaxed structure of GdEr2Zr.

Lattice parameters (Å, degrees): 4.8433 4.8435 4.8435 90.00 90.00 90.00
Last column: magnetic moment on the atom in μB.
Fractional positions:
Gd 0.5000 0.5000 0.5000  7.11
Zr 0.5000 0.0000 0.0000  -0.13
Er 0.0000 0.0000 0.5000  -0.07
Er 0.0000 0.5000 0.0000  -0.07

Calculated values
Total energy ... -7.856 eV per atom
Calculated volume ... 28.405 Å³ per atom
ΔH_f (0 K) ... 0.083 eV per atom
N(E_F) ... 5.26 states/eV/cell
Polymorph energy (0 for the lowest one) ... 0.021 eV/atom



Entry 2:
DFT (PBE-GGA) results for a relaxed structure of Pm2Cu4Sn3Hg.

Lattice parameters (Å, degrees): 4.3977 4.3977 10.8635 90.00 90.00 90.00
Fractional positions:
Pm 0.5000 0.0000 0.2397
Pm 0.0000 0.5000 0.7603
Cu 0.5000 0.5000 0.0000
Cu 0.0000 0.0000 0.0000
Cu 0.5000 0.0000 0.6389
Cu 0.0000 0.5000 0.3611
Sn 0.0000 0.0000 0.5000
Sn 0.5000 0.0000 0.8697
Sn 0.0000 0.5000 0.1303
Hg 0.5000 0.5000 0.5000

Calculated values
Total energy ... -4.184 eV per atom
Calculated volume ... 21.009 Å³ per atom
ΔH_f (0 K) ... -0.364 eV per atom
N(E_F) ... 3.98 states/eV/cell



Entry 3:
DFT (PBE-GGA) results for a relaxed structure of Hf2ScRhBr.

Lattice parameters (Å, degrees): 5.2922 4.5031 5.2922 90.00 90.00 90.00
Fractional positions:
Sc 0.0000 0.0000 0.0000
Rh 0.0000 0.5000 0.0000
Hf 0.0000 0.0000 0.5000
Hf 0.5000 0.0000 0.0000
Br 0.5000 0.5000 0.5000

Calculated values
Total energy ... -6.016 eV per atom
Calculated volume ... 25.224 Å³ per atom
Energy relative to the elements, uncorrected ... 1036 meV/atom
N(E_F) ... 5.53 states/eV/cell



Entry 4:
DFT (PBE-GGA) results for a relaxed structure of ZnAgI3.

Lattice parameters (Å, degrees): 5.7116 5.7116 5.7116 90.00 90.00 90.00
Last column: magnetic moment on the atom in μB.
Fractional positions:
I 0.0000 0.5000 0.0000  0.10
I 0.0000 0.0000 0.5000  0.07
I 0.5000 0.0000 0.0000  0.06
Zn 0.5000 0.5000 0.5000  0.25
Ag 0.0000 0.0000 0.0000  0.01

Calculated values
Total energy ... -1.519 eV per atom
Calculated volume ... 37.264 Å³ per atom
Energy relative to the elements, uncorrected ... 236 meV/atom
N(E_F) ... 4.89 states/eV/cell
Polymorph energy (0 for the lowest one) ... 0.639 eV/atom



Entry 5:
DFT (PBE-GGA) results for a relaxed structure of Zr2CuAs.

Lattice parameters (Å, degrees): 4.9216 4.9216 4.9216 127.78 127.78 76.98
Fractional positions:
As 0.2500 0.7500 0.5000
Cu 0.7500 0.2500 0.5000
Zr 0.0000 0.0000 0.0000
Zr 0.5000 0.5000 0.0000

Calculated values
Total energy ... -6.937 eV per atom
Calculated volume ... 18.072 Å³ per atom
ΔH_f (0 K) ... -0.477 eV per atom
N(E_F) ... 3.40 states/eV/cell



Entry 6:
DFT (PBE-GGA) results for a relaxed structure of Be2Zn2Cd.

Lattice parameters (Å, degrees): 3.4374 3.4374 6.5890 74.88 74.88 90.00
Fractional positions:
Be 0.7500 0.2500 0.5000
Be 0.2500 0.7500 0.5000
Zn 0.3842 0.3842 0.2316
Zn 0.6158 0.6158 0.7684
Cd 0.0000 0.0000 0.0000

Calculated values
Total energy ... -1.836 eV per atom
Calculated volume ... 14.473 Å³ per atom
ΔH_f (0 K) ... 0.347 eV per atom
N(E_F) ... 1.79 states/eV/cell
Polymorph energy (0 for the lowest one) ... 0.025 eV/atom



Entry 7:
DFT (PBE-GGA) results for a relaxed structure of MnSi2Pb.

Lattice parameters (Å, degrees): 2.9843 2.9843 7.6407 90.00 90.00 90.12
Fractional positions:
Mn 0.5000 0.5000 0.2500
Pb 0.5000 0.5000 0.7500
Si 0.0000 0.0000 0.0835
Si 0.0000 0.0000 0.4165

Calculated values
Total energy ... -5.738 eV per atom
Calculated volume ... 17.012 Å³ per atom
Energy relative to the elements, uncorrected ... 193 meV/atom
N(E_F) ... 3.50 states/eV/cell



Entry 8:
DFT (PBE-GGA) results for a relaxed structure of KMnBeSe3.

Lattice parameters (Å, degrees): 3.6933 8.9285 9.4814 108.94 90.00 90.00
Last column: magnetic moment on the atom in μB.
Fractional positions:
K 0.2500 0.2013 0.2313  0.00
K 0.7500 0.7987 0.7687  0.00
Mn 0.2500 0.6559 0.1324  3.76
Mn 0.7500 0.3441 0.8676  3.76
Be 0.2500 0.0833 0.5951  0.01
Be 0.7500 0.9167 0.4049  0.01
Se 0.7500 0.8570 0.1533  -0.05
Se 0.2500 0.1430 0.8467  -0.05
Se 0.2500 0.8162 0.4801  0.02
Se 0.7500 0.1838 0.5199  0.02
Se 0.7500 0.4769 0.1607  -0.02
Se 0.2500 0.5231 0.8393  -0.02

Calculated values
Total energy ... -4.841 eV per atom
Calculated volume ... 24.644 Å³ per atom
Energy relative to the elements, uncorrected ... -767 meV/atom
N(E_F) ... 3.44 states/eV/cell